Record 1
## Rb5Bi4Pb4 (PBE)

Data for a relaxed structure of Rb5Bi4Pb4.

Cell: 10.5654 10.5654 10.5654 Å, 93.78 93.78 150.25°
Fractional coordinates of all 13 atoms:
Rb (0.0000, 0.0000, 0.0000)
Rb (0.2920, 0.3579, 0.6499)
Rb (0.3579, 0.7080, 0.0659)
Rb (0.6421, 0.2920, 0.9341)
Rb (0.7080, 0.6421, 0.3501)
Bi (0.0428, 0.2661, 0.3089)
Bi (0.2661, 0.9572, 0.2233)
Bi (0.7339, 0.0428, 0.7767)
Bi (0.9572, 0.7339, 0.6911)
Pb (0.1005, 0.5613, 0.6617)
Pb (0.4387, 0.1005, 0.5392)
Pb (0.5613, 0.8995, 0.4608)
Pb (0.8995, 0.4387, 0.3383)

Properties
* energy: -2.955 eV/atom
* formation energy from the elements: -3.22 eV/f.u.
* D(E_F): 2.82 states/eV/cell

=====

Record 2
## KMoSe2Br (PBE)

Data for a relaxed structure of KMoSe2Br.

Cell: 5.7877 5.7877 5.6791 Å, 90.00 90.00 90.00°
Fractional coordinates of all 5 atoms:
K (0.0000, 0.0000, 0.0000)
Mo (0.5000, 0.5000, 0.5000)
Se (0.0000, 0.5000, 0.0000)
Se (0.5000, 0.0000, 0.0000)
Br (0.0000, 0.0000, 0.5000)

Properties
* distance to the lowest polymorph of the same formula: 8.58 eV per formula unit
* energy: -2.926 eV/atom
* formation energy without anion corrections: 1188 meV/atom
* D(E_F): 5.22 states/eV/cell

=====

Record 3
## MnGa (PBE)

Data for a relaxed structure of MnGa.

Cell: 7.3974 7.3974 4.0342 Å, 90.00 90.00 120.00°
Fractional coordinates of all 12 atoms:
Mn (0.1122, 0.5561, 0.2500)
Mn (0.4439, 0.5561, 0.2500)
Mn (0.4439, 0.8878, 0.2500)
Mn (0.5561, 0.1122, 0.7500)
Mn (0.5561, 0.4439, 0.7500)
Mn (0.8878, 0.4439, 0.7500)
Ga (0.2010, 0.4020, 0.7500)
Ga (0.2010, 0.7990, 0.7500)
Ga (0.4020, 0.2010, 0.2500)
Ga (0.5980, 0.7990, 0.7500)
Ga (0.7990, 0.2010, 0.2500)
Ga (0.7990, 0.5980, 0.2500)

Properties
* energy: -6.040 eV/atom
* formation energy from the elements: 0.12 eV/f.u.
* D(E_F): 8.82 states/eV/cell

=====

Record 4
## Ni4Pt3Rh2 (PBE)

Data for a relaxed structure of Ni4Pt3Rh2.

Cell: 7.0575 7.0575 7.2059 Å, 115.04 115.04 22.08°
Fractional coordinates of all 9 atoms:
Ni (0.0199, 0.0199, 0.3282)
Ni (0.3145, 0.3145, 0.6656)
Ni (0.6855, 0.6855, 0.3344)
Ni (0.9801, 0.9801, 0.6718)
Pt (0.3571, 0.3571, 0.3481)
Pt (0.5000, 0.5000, 0.0000)
Pt (0.6429, 0.6429, 0.6519)
Rh (0.1684, 0.1684, 0.0055)
Rh (0.8316, 0.8316, 0.9945)

Properties
* distance to the lowest polymorph of the same formula: 0.14 eV per formula unit
* energy: -6.234 eV/atom
* formation energy from the elements: -0.15 eV/f.u.
* D(E_F): 14.16 states/eV/cell

=====

Record 5
## ErMg2Cu (PBE)

Data for a relaxed structure of ErMg2Cu.

Cell: 4.1830 4.1830 4.9036 Å, 90.00 90.00 90.00°
Fractional coordinates of all 4 atoms:
Er (0.0000, 0.0000, 0.0000)
Mg (0.0000, 0.5000, 0.5000)
Mg (0.5000, 0.0000, 0.5000)
Cu (0.5000, 0.5000, 0.0000)

Properties
* energy: -2.987 eV/atom
* formation energy from the elements: -0.10 eV/f.u.
* D(E_F): 2.40 states/eV/cell

=====

Record 6
## Sc2MoPd (PBE)

Data for a relaxed structure of Sc2MoPd.

Cell: 4.7706 4.7706 3.1793 Å, 90.00 90.00 90.00°
Fractional coordinates of all 4 atoms:
Sc (0.0000, 0.5000, 0.0000)
Sc (0.5000, 0.0000, 0.0000)
Mo (0.0000, 0.0000, 0.5000)
Pd (0.5000, 0.5000, 0.5000)

Properties
* energy: -7.457 eV/atom
* formation energy from the elements: -1.14 eV/f.u.
* D(E_F): 5.35 states/eV/cell

=====

Record 7
## ZrTi2P (PBE)

Data for a relaxed structure of ZrTi2P.

Cell: 7.5469 7.5469 5.2138 Å, 90.00 90.00 90.00°
Fractional coordinates of all 16 atoms:
Zr (0.0000, 0.0000, 0.0000)
Zr (0.0000, 0.5000, 0.2500)
Zr (0.5000, 0.0000, 0.7500)
Zr (0.5000, 0.5000, 0.5000)
Ti (0.1844, 0.2500, 0.6250)
Ti (0.2500, 0.6844, 0.8750)
Ti (0.2500, 0.8156, 0.3750)
Ti (0.3156, 0.2500, 0.1250)
Ti (0.6844, 0.7500, 0.1250)
Ti (0.7500, 0.1844, 0.3750)
Ti (0.7500, 0.3156, 0.8750)
Ti (0.8156, 0.7500, 0.6250)
P (0.0000, 0.0000, 0.5000)
P (0.0000, 0.5000, 0.7500)
P (0.5000, 0.0000, 0.2500)
P (0.5000, 0.5000, 0.0000)

Properties
* energy: -7.764 eV/atom
* formation energy from the elements: -1.31 eV/f.u.
* D(E_F): 25.76 states/eV/cell

=====

Record 8
## V3ZnHg (PBE)

Data for a relaxed structure of V3ZnHg.

Cell: 5.0663 5.0663 5.0663 Å, 90.00 90.00 90.00°
Fractional coordinates of all 5 atoms:
V (0.0000, 0.0000, 0.5000)
V (0.0000, 0.5000, 0.0000)
V (0.5000, 0.0000, 0.0000)
Zn (0.5000, 0.5000, 0.5000)
Hg (0.0000, 0.0000, 0.0000)

Properties
* distance to the lowest polymorph of the same formula: 2.69 eV per formula unit
* energy: -4.081 eV/atom
* formation energy from the elements: 8.53 eV/f.u.
* D(E_F): 13.58 states/eV/cell

=====

Record 9
## TbPaCo (PBE)

Data for a relaxed structure of TbPaCo.

Cell: 4.1948 4.1948 4.7044 Å, 90.00 90.00 120.00°
Fractional coordinates of all 3 atoms:
Tb (0.0000, 0.0000, 0.0000)
Pa (0.6667, 0.3333, 0.5000)
Co (0.3333, 0.6667, 0.5000)

Properties
* distance to the lowest polymorph of the same formula: 0.85 eV per formula unit
* energy: -7.011 eV/atom
* formation energy from the elements: 0.20 eV/f.u.
* D(E_F): 4.58 states/eV/cell

=====

Record 10
## Sm3SnPd12 (PBE)

Data for a relaxed structure of Sm3SnPd12.

Cell: 4.1529 4.1529 16.4645 Å, 90.00 90.00 90.00°
Fractional coordinates of all 16 atoms:
Sm (0.0000, 0.0000, 0.0000)
Sm (0.0000, 0.0000, 0.2536)
Sm (0.0000, 0.0000, 0.7464)
Sn (0.0000, 0.0000, 0.5000)
Pd (0.0000, 0.5000, 0.1274)
Pd (0.0000, 0.5000, 0.3835)
Pd (0.0000, 0.5000, 0.6165)
Pd (0.0000, 0.5000, 0.8726)
Pd (0.5000, 0.0000, 0.1274)
Pd (0.5000, 0.0000, 0.3835)
Pd (0.5000, 0.0000, 0.6165)
Pd (0.5000, 0.0000, 0.8726)
Pd (0.5000, 0.5000, 0.0000)
Pd (0.5000, 0.5000, 0.2566)
Pd (0.5000, 0.5000, 0.5000)
Pd (0.5000, 0.5000, 0.7434)

Properties
* energy: -5.762 eV/atom
* formation energy from the elements: -11.71 eV/f.u.
* D(E_F): 7.30 states/eV/cell

=====

Record 11
## RbBeTc2 (PBE)

Data for a relaxed structure of RbBeTc2.

Cell: 4.5377 4.5377 17.4906 Å, 90.00 90.00 90.00°
Fractional coordinates of all 16 atoms:
Rb (0.0000, 0.0000, 0.0000)
Rb (0.0000, 0.5000, 0.2500)
Rb (0.5000, 0.0000, 0.7500)
Rb (0.5000, 0.5000, 0.5000)
Be (0.0000, 0.0000, 0.5000)
Be (0.0000, 0.5000, 0.7500)
Be (0.5000, 0.0000, 0.2500)
Be (0.5000, 0.5000, 0.0000)
Tc (0.0725, 0.7500, 0.6250)
Tc (0.2500, 0.0725, 0.3750)
Tc (0.2500, 0.4275, 0.8750)
Tc (0.4275, 0.7500, 0.1250)
Tc (0.5725, 0.2500, 0.1250)
Tc (0.7500, 0.5725, 0.8750)
Tc (0.7500, 0.9275, 0.3750)
Tc (0.9275, 0.2500, 0.6250)

Properties
* energy: -4.876 eV/atom
* formation energy from the elements: 5.92 eV/f.u.
* D(E_F): 18.83 states/eV/cell

=====

Record 12
## Pm2Pr5Sm2 (PBE)

Data for a relaxed structure of Pm2Pr5Sm2.

Cell: 10.3090 10.3090 10.3090 Å, 85.11 108.29 140.48°
Fractional coordinates of all 18 atoms:
Pm (0.0041, 0.1262, 0.1303)
Pm (0.0041, 0.3738, 0.3778)
Pm (0.9959, 0.6262, 0.6222)
Pm (0.9959, 0.8738, 0.8697)
Pr (0.0936, 0.3988, 0.8009)
Pr (0.0936, 0.7926, 0.1947)
Pr (0.3889, 0.8990, 0.9899)
Pr (0.4436, 0.3200, 0.4099)
Pr (0.4436, 0.5337, 0.6236)
Pr (0.5979, 0.2926, 0.1991)
Pr (0.5979, 0.8988, 0.8053)
Pr (0.9091, 0.3990, 0.0101)
Pr (0.9101, 0.0337, 0.5901)
Pr (0.9101, 0.8200, 0.3764)
Sm (0.4550, 0.2112, 0.7437)
Sm (0.4675, 0.7112, 0.2563)
Sm (0.5223, 0.0223, 0.5000)
Sm (0.5223, 0.5223, 0.0000)

Properties
* distance to the lowest polymorph of the same formula: 0.88 eV per formula unit
* energy: -4.567 eV/atom
* formation energy from the elements: 1.73 eV/f.u.
* D(E_F): 27.63 states/eV/cell

=====

Record 13
## Ce2ScSb3Pd4 (PBE)

Data for a relaxed structure of Ce2ScSb3Pd4.

Cell: 4.4228 4.4228 11.4680 Å, 90.00 90.00 90.00°
Fractional coordinates of all 10 atoms:
Ce (0.0000, 0.5000, 0.2274)
Ce (0.5000, 0.0000, 0.7726)
Sc (0.0000, 0.0000, 0.5000)
Sb (0.0000, 0.5000, 0.8653)
Sb (0.5000, 0.0000, 0.1347)
Sb (0.5000, 0.5000, 0.5000)
Pd (0.0000, 0.0000, 0.0000)
Pd (0.0000, 0.5000, 0.6384)
Pd (0.5000, 0.0000, 0.3616)
Pd (0.5000, 0.5000, 0.0000)

Properties
* energy: -5.986 eV/atom
* formation energy without anion corrections: -852 meV/atom
* D(E_F): 15.22 states/eV/cell

=====

Record 14
## LiSn2Br6 (PBE)

Data for a relaxed structure of LiSn2Br6.

Cell: 7.1510 6.9126 14.0154 Å, 90.00 120.58 90.00°
Fractional coordinates of all 18 atoms:
Li (0.0000, 0.0000, 0.0000)
Li (0.0000, 0.5000, 0.5000)
Sn (0.3233, 0.0025, 0.8227)
Sn (0.3233, 0.4975, 0.3227)
Sn (0.6767, 0.5025, 0.6773)
Sn (0.6767, 0.9975, 0.1773)
Br (0.0084, 0.7346, 0.3343)
Br (0.0084, 0.7654, 0.8343)
Br (0.3207, 0.2147, 0.0012)
Br (0.3207, 0.2853, 0.5012)
Br (0.3385, 0.7422, 0.6638)
Br (0.3385, 0.7578, 0.1638)
Br (0.6615, 0.2422, 0.8362)
Br (0.6615, 0.2578, 0.3362)
Br (0.6793, 0.7147, 0.4988)
Br (0.6793, 0.7853, 0.9988)
Br (0.9916, 0.2346, 0.1657)
Br (0.9916, 0.2654, 0.6657)

Properties
* energy: -3.077 eV/atom
* formation energy without anion corrections: -860 meV/atom
* D(E_F): 6.24 states/eV/cell

=====

Record 15
## TbTm2Sb (PBE)

Data for a relaxed structure of TbTm2Sb.

Cell: 3.9353 3.9353 7.2773 Å, 90.00 90.00 90.00°
Fractional coordinates of all 4 atoms:
Tb (0.0000, 0.0000, 0.0000)
Tm (0.5000, 0.5000, 0.2767)
Tm (0.5000, 0.5000, 0.7233)
Sb (0.0000, 0.0000, 0.5000)

Properties
* distance to the lowest polymorph of the same formula: 0.37 eV per formula unit
* energy: -4.873 eV/atom
* formation energy without anion corrections: -449 meV/atom
* D(E_F): 4.27 states/eV/cell

=====

Record 16
## Hg2PbBr2 (PBE)

Data for a relaxed structure of Hg2PbBr2.

Cell: 4.0668 4.0668 20.3422 Å, 90.00 90.00 90.00°
Fractional coordinates of all 10 atoms:
Hg (0.0000, 0.5000, 0.2500)
Hg (0.0000, 0.5000, 0.7500)
Hg (0.5000, 0.0000, 0.2500)
Hg (0.5000, 0.0000, 0.7500)
Pb (0.0000, 0.0000, 0.0000)
Pb (0.5000, 0.5000, 0.5000)
Br (0.0000, 0.0000, 0.4159)
Br (0.0000, 0.0000, 0.5841)
Br (0.5000, 0.5000, 0.0841)
Br (0.5000, 0.5000, 0.9159)

Properties
* distance to the lowest polymorph of the same formula: 0.68 eV per formula unit
* energy: -1.910 eV/atom
* formation energy without anion corrections: -378 meV/atom
* D(E_F): 3.09 states/eV/cell

=====

Record 17
## SrPaSb2Pd2 (PBE)

Data for a relaxed structure of SrPaSb2Pd2.

Cell: 4.5821 4.5821 8.3634 Å, 90.00 90.00 120.00°
Fractional coordinates of all 6 atoms:
Sr (0.0000, 0.0000, 0.0000)
Pa (0.0000, 0.0000, 0.5000)
Sb (0.3333, 0.6667, 0.7386)
Sb (0.6667, 0.3333, 0.2614)
Pd (0.3333, 0.6667, 0.3076)
Pd (0.6667, 0.3333, 0.6924)

Properties
* energy: -5.796 eV/atom
* formation energy without anion corrections: -828 meV/atom
* D(E_F): 4.33 states/eV/cell

=====

Record 18
## Ag3Rh2 (PBE)

Data for a relaxed structure of Ag3Rh2.

Cell: 2.8278 2.8278 35.2815 Å, 90.00 90.00 120.00°
Fractional coordinates of all 15 atoms:
Ag (0.0000, 0.0000, 0.0000)
Ag (0.0000, 0.0000, 0.4034)
Ag (0.0000, 0.0000, 0.5966)
Ag (0.3333, 0.6667, 0.0700)
Ag (0.3333, 0.6667, 0.2633)
Ag (0.3333, 0.6667, 0.6667)
Ag (0.6667, 0.3333, 0.3333)
Ag (0.6667, 0.3333, 0.7367)
Ag (0.6667, 0.3333, 0.9300)
Rh (0.0000, 0.0000, 0.1962)
Rh (0.0000, 0.0000, 0.8038)
Rh (0.3333, 0.6667, 0.4705)
Rh (0.3333, 0.6667, 0.8628)
Rh (0.6667, 0.3333, 0.1372)
Rh (0.6667, 0.3333, 0.5295)

Properties
* distance to the lowest polymorph of the same formula: 0.17 eV per formula unit
* energy: -4.496 eV/atom
* formation energy from the elements: 0.78 eV/f.u.
* D(E_F): 16.22 states/eV/cell